The following is a GGA-PBE calculation of a geometry-optimized Rb2MgPaO4 structure, from the Alexandria database.

Structure (extended XYZ):
```
8
Lattice="5.7914 0.0000 0.0000 0.0000 3.5730 0.0000 -1.9001 0.0000 6.5589" Properties=species:S:1:pos:R:3 pbc="T T T"
Rb 0.0000 0.0000 0.0000
Rb 2.8957 1.7865 0.0000
Mg -0.9500 1.7865 3.2795
Pa 1.9457 0.0000 3.2795
O 0.0486 0.0000 4.3799
O 0.9394 1.7865 2.1784
O 2.9520 1.7865 4.3805
O 3.8427 0.0000 2.1790
```

Summary:
**E_form (uncorrected)**: -2350 meV per atom
**SG**: P2/m (10)
**DOS at the Fermi energy**: 0.284 states/eV per atom